Version one
5
Lattice="4.861 0.000 0.000 0.000 4.861 0.000 0.000 0.000 4.861" Properties=species:S:1:pos:R:3 comment="SrMgW3 PBE optimized geometry" dos_at_fermi_per_ev_atom=0.976 pbc="T T T"
Sr 0.000 0.000 0.000
Mg 2.430 2.430 2.430
W 0.000 0.000 2.430
W 0.000 2.430 0.000
W 2.430 0.000 0.000

***

Version two
5
Lattice="4.824 0.000 0.000 0.000 4.824 0.000 0.000 0.000 4.824" Properties=species:S:1:pos:R:3 comment="SrMgW3 PBE optimized geometry" dos_at_fermi_per_ev_atom=1.721 pbc="T T T"
Sr 0.000 0.000 0.000
Mg 2.412 2.412 2.412
W 0.000 2.412 2.412
W 2.412 0.000 2.412
W 2.412 2.412 0.000

***

The computed energies, referenced to the most stable structure and given in eV/atom, are version one 0.959; version two 0.000.

***

Version one
3
Lattice="0.000 3.933 3.933 3.933 0.000 3.933 3.933 3.933 0.000" Properties=species:S:1:pos:R:3 comment="SrYMg PBE optimized geometry" dos_at_fermi_per_ev_atom=1.591 pbc="T T T"
Sr 0.000 0.000 0.000
Y 3.933 3.933 3.933
Mg 5.900 5.900 5.900

***

Version two
6
Lattice="5.544 0.000 0.000 0.000 5.544 0.000 0.000 0.000 7.902" Properties=species:S:1:pos:R:3 comment="SrYMg PBE optimized geometry" dos_at_fermi_per_ev_atom=1.676 pbc="T T T"
Sr 1.386 4.158 0.000
Sr 4.158 1.386 0.000
Y 1.386 4.158 3.951
Y 4.158 1.386 3.951
Mg 1.386 1.386 2.218
Mg 4.158 4.158 5.684

***

Version three
3
Lattice="5.782 0.000 0.000 -2.891 5.007 0.000 0.000 0.000 3.548" Properties=species:S:1:pos:R:3 comment="SrYMg PBE optimized geometry" dos_at_fermi_per_ev_atom=1.190 pbc="T T T"
Sr 0.000 0.000 0.000
Y 2.891 1.669 1.351
Mg 0.000 3.338 2.448

***

Version four
3
Lattice="-1.953 1.953 6.875 1.953 -1.953 6.875 1.953 1.953 -6.875" Properties=species:S:1:pos:R:3 comment="SrYMg PBE optimized geometry" dos_at_fermi_per_ev_atom=1.229 pbc="T T T"
Sr 0.000 0.000 0.000
Y 0.000 0.000 4.033
Mg 0.000 0.000 9.177

***

The computed energies, referenced to the most stable structure and given in eV/atom, are version one 0.350; version two 0.292; version three 0.130; version four 0.000.